Entry 1:
! Tb2BeZnPt6 (PBE-GGA, optimized geometry); values from VASP
! spin magnetization	0.00	μB per formula unit
! E_form	-0.824	eV per atom
! symmetry	R-3m
&SYSTEM
  ibrav = 0, nat = 10, ntyp = 4
/
ATOMIC_SPECIES
Tb 158.93 Tb.upf
Be 9.01 Be.upf
Zn 65.41 Zn.upf
Pt 195.08 Pt.upf
CELL_PARAMETERS angstrom
2.8057 1.6199 6.7975
-2.8057 1.6199 6.7975
0.0000 -3.2397 6.7975
ATOMIC_POSITIONS angstrom
Tb 0.0000 0.0000 4.2427
Tb 0.0000 0.0000 16.1497
Be 0.0000 0.0000 0.0000
Zn 0.0000 0.0000 10.1962
Pt 0.0000 -1.5906 8.2444
Pt -1.3775 0.7953 8.2444
Pt -1.3775 -0.7953 12.1480
Pt 1.3775 0.7953 8.2444
Pt 1.3775 -0.7953 12.1480
Pt 0.0000 1.5906 12.1480

=====

Entry 2:
! MgAl2Rh4 (PBE-GGA, optimized geometry); values from VASP
! spin magnetization	0.00	μB per formula unit
! E_form	-0.511	eV per atom
! symmetry	I4/mmm
&SYSTEM
  ibrav = 0, nat = 7, ntyp = 3
/
ATOMIC_SPECIES
Mg 24.30 Mg.upf
Al 26.98 Al.upf
Rh 102.91 Rh.upf
CELL_PARAMETERS angstrom
-2.9886 2.9886 2.9549
2.9886 -2.9886 2.9549
2.9886 2.9886 -2.9549
ATOMIC_POSITIONS angstrom
Mg 0.0000 0.0000 0.0000
Al 2.9886 0.0000 0.0000
Al 0.0000 2.9886 0.0000
Rh 1.4943 1.4943 -1.4775
Rh 1.4943 -1.4943 1.4775
Rh -1.4943 1.4943 1.4775
Rh 1.4943 1.4943 1.4775

=====

Entry 3:
! Ti6Sn3Hg (PBE-GGA, optimized geometry); values from VASP
! spin magnetization	1.81	μB per formula unit
! E_form	0.154	eV per atom
! symmetry	C2/m
&SYSTEM
  ibrav = 0, nat = 10, ntyp = 3
/
ATOMIC_SPECIES
Ti 47.87 Ti.upf
Sn 118.71 Sn.upf
Hg 200.59 Hg.upf
CELL_PARAMETERS angstrom
6.6258 -2.8417 0.0000
6.6258 2.8417 0.0000
-4.0445 0.0000 6.2292
ATOMIC_POSITIONS angstrom
Ti 2.3358 1.4289 3.8559
Ti 0.0082 0.0000 5.0888
Ti 6.8713 1.4289 2.3733
Ti 2.3358 -1.4289 3.8559
Ti 9.1990 0.0000 1.1404
Ti 6.8713 -1.4289 2.3733
Sn 2.7187 0.0000 1.3673
Sn 6.6258 0.0000 0.0000
Sn 6.4885 0.0000 4.8619
Hg -2.0223 0.0000 3.1146

=====

Entry 4:
! PtPbI2N (PBE-GGA, optimized geometry); values from VASP
! relative energy among the computed polymorphs	1127	meV/atom
! spin magnetization	0.00	μB per formula unit
! symmetry	P4/mmm
! E_form (uncorrected)	1.4472	eV per atom
&SYSTEM
  ibrav = 0, nat = 5, ntyp = 4
/
ATOMIC_SPECIES
Pt 195.08 Pt.upf
Pb 207.20 Pb.upf
I 126.90 I.upf
N 14.01 N.upf
CELL_PARAMETERS angstrom
5.9834 0.0000 0.0000
0.0000 5.9834 0.0000
0.0000 0.0000 4.1390
ATOMIC_POSITIONS angstrom
Pt 0.0000 0.0000 0.0000
Pb 2.9917 2.9917 2.0695
I 0.0000 2.9917 2.0695
I 2.9917 0.0000 2.0695
N 2.9917 2.9917 0.0000

=====

Entry 5:
! CeDyTeSe (PBE-GGA, optimized geometry); values from VASP
! spin magnetization	1.47	μB per formula unit
! symmetry	R3m
! E_form (uncorrected)	-1.4746	eV per atom
&SYSTEM
  ibrav = 0, nat = 4, ntyp = 4
/
ATOMIC_SPECIES
Ce 140.12 Ce.upf
Dy 162.50 Dy.upf
Te 127.60 Te.upf
Se 78.96 Se.upf
CELL_PARAMETERS angstrom
2.0571 1.1877 7.6955
-2.0571 1.1877 7.6955
0.0000 -2.3754 7.6955
ATOMIC_POSITIONS angstrom
Ce 0.0000 0.0000 0.0000
Dy 0.0000 0.0000 3.7316
Te 0.0000 0.0000 13.3118
Se 0.0000 0.0000 17.3802

=====

Entry 6:
! Ba2Hg3 (PBE-GGA, optimized geometry); values from VASP
! relative energy among the computed polymorphs	148	meV/atom
! spin magnetization	0.00	μB per formula unit
! E_form	-0.347	eV per atom
! symmetry	P-3m1
&SYSTEM
  ibrav = 0, nat = 5, ntyp = 2
/
ATOMIC_SPECIES
Ba 137.33 Ba.upf
Hg 200.59 Hg.upf
CELL_PARAMETERS angstrom
5.8439 0.0000 0.0000
-2.9220 5.0610 0.0000
0.0000 0.0000 7.0278
ATOMIC_POSITIONS angstrom
Ba 0.0000 3.3740 2.0501
Ba 2.9220 1.6870 4.9777
Hg 0.0000 0.0000 3.5139
Hg 0.0000 3.3740 5.5264
Hg 2.9220 1.6870 1.5014

=====

Entry 7:
! NaDyIn (PBE-GGA, optimized geometry); values from VASP
! relative energy among the computed polymorphs	212	meV/atom
! spin magnetization	0.00	μB per formula unit
! E_form	0.122	eV per atom
! symmetry	P4/nmm
&SYSTEM
  ibrav = 0, nat = 6, ntyp = 3
/
ATOMIC_SPECIES
Na 22.99 Na.upf
Dy 162.50 Dy.upf
In 114.82 In.upf
CELL_PARAMETERS angstrom
5.0145 0.0000 0.0000
0.0000 5.0145 0.0000
0.0000 0.0000 7.5681
ATOMIC_POSITIONS angstrom
Na 1.2536 1.2536 1.6578
Na 3.7609 3.7609 5.9103
Dy 1.2536 1.2536 5.6688
Dy 3.7609 3.7609 1.8993
In 1.2536 3.7609 3.7840
In 3.7609 1.2536 3.7840

=====

Entry 8:
! CdSeCl (PBE-GGA, optimized geometry); values from VASP
! relative energy among the computed polymorphs	265	meV/atom
! spin magnetization	0.00	μB per formula unit
! symmetry	P3m1
! E_form (uncorrected)	-0.4332	eV per atom
&SYSTEM
  ibrav = 0, nat = 3, ntyp = 3
/
ATOMIC_SPECIES
Cd 112.41 Cd.upf
Se 78.96 Se.upf
Cl 35.45 Cl.upf
CELL_PARAMETERS angstrom
3.6612 0.0000 0.0000
-1.8306 3.1707 0.0000
0.0000 0.0000 7.1675
ATOMIC_POSITIONS angstrom
Cd 0.0000 0.0000 0.0000
Se 0.0000 2.1138 5.3196
Cl 1.8306 1.0569 1.6115

=====

Entry 9:
! VCS3 (PBE-GGA, optimized geometry); values from VASP
! relative energy among the computed polymorphs	0	meV/atom
! spin magnetization	1.89	μB per formula unit
! symmetry	Pm-3m
! E_form (uncorrected)	0.9746	eV per atom
&SYSTEM
  ibrav = 0, nat = 5, ntyp = 3
/
ATOMIC_SPECIES
V 50.94 V.upf
C 12.01 C.upf
S 32.06 S.upf
CELL_PARAMETERS angstrom
4.0804 0.0000 0.0000
0.0000 4.0804 0.0000
0.0000 0.0000 4.0804
ATOMIC_POSITIONS angstrom
V 0.0000 0.0000 0.0000
C 2.0402 2.0402 2.0402
S 0.0000 2.0402 2.0402
S 2.0402 0.0000 2.0402
S 2.0402 2.0402 0.0000

=====

Entry 10:
! TaCoW4 (PBE-GGA, optimized geometry); values from VASP
! spin magnetization	2.28	μB per formula unit
! E_form	0.483	eV per atom
! symmetry	F-43m
&SYSTEM
  ibrav = 0, nat = 6, ntyp = 3
/
ATOMIC_SPECIES
Ta 180.95 Ta.upf
Co 58.93 Co.upf
W 183.84 W.upf
CELL_PARAMETERS angstrom
0.0000 3.7059 3.7059
3.7059 0.0000 3.7059
3.7059 3.7059 0.0000
ATOMIC_POSITIONS angstrom
Ta 0.0000 0.0000 0.0000
Co 5.5588 5.5588 5.5588
W 2.7790 2.7790 2.7790
W 4.6328 4.6328 2.7790
W 4.6328 2.7790 4.6328
W 2.7790 4.6328 4.6328

=====

Entry 11:
! FeN2Cl (PBE-GGA, optimized geometry); values from VASP
! relative energy among the computed polymorphs	34	meV/atom
! spin magnetization	0.00	μB per formula unit
! symmetry	I-42d
! E_form (uncorrected)	0.7510	eV per atom
&SYSTEM
  ibrav = 0, nat = 8, ntyp = 3
/
ATOMIC_SPECIES
Fe 55.84 Fe.upf
N 14.01 N.upf
Cl 35.45 Cl.upf
CELL_PARAMETERS angstrom
-2.6736 2.6736 3.9353
2.6736 -2.6736 3.9353
2.6736 2.6736 -3.9353
ATOMIC_POSITIONS angstrom
Fe 0.0000 0.0000 0.0000
Fe 0.0000 2.6736 1.9677
N 0.4301 1.3368 0.9838
N -1.3368 2.2435 2.9515
N -0.4301 4.0104 0.9838
N 1.3368 3.1037 2.9515
Cl 2.6736 0.0000 1.9677
Cl 0.0000 0.0000 3.9353

=====

Entry 12:
! NbTlIn2F8 (PBE-GGA, optimized geometry); values from VASP
! spin magnetization	0.00	μB per formula unit
! symmetry	P-1
! E_form (uncorrected)	-2.4062	eV per atom
&SYSTEM
  ibrav = 0, nat = 12, ntyp = 4
/
ATOMIC_SPECIES
Nb 92.91 Nb.upf
Tl 204.38 Tl.upf
In 114.82 In.upf
F 19.00 F.upf
CELL_PARAMETERS angstrom
5.0202 0.0000 0.0000
-0.6523 6.5204 0.0000
-0.1696 -0.0852 8.2231
ATOMIC_POSITIONS angstrom
Nb 0.0000 0.0000 0.0000
Tl -0.0848 -0.0426 4.1116
In 2.0451 3.1972 5.9960
In 2.1532 3.2381 2.2272
F -0.1105 5.2898 6.8094
F 0.0368 5.3547 1.4084
F 1.6047 1.0671 0.0190
F 1.8726 1.8117 4.0823
F 2.3257 4.6236 4.1408
F 2.5935 5.3682 8.2041
F 4.1615 1.0805 6.8147
F 4.3088 1.1455 1.4137

=====

Entry 13:
! Ho2Tm3Pb2 (PBE-GGA, optimized geometry); values from VASP
! spin magnetization	0.00	μB per formula unit
! E_form	-0.289	eV per atom
! symmetry	C2/m
&SYSTEM
  ibrav = 0, nat = 7, ntyp = 3
/
ATOMIC_SPECIES
Ho 164.93 Ho.upf
Tm 168.93 Tm.upf
Pb 207.20 Pb.upf
CELL_PARAMETERS angstrom
5.9578 -2.2156 0.0000
5.9578 2.2156 0.0000
-2.8411 0.0000 7.9250
ATOMIC_POSITIONS angstrom
Ho 0.7440 0.0000 2.1975
Ho 8.3305 0.0000 5.7275
Tm 4.3207 0.0000 0.5000
Tm 4.5373 0.0000 3.9625
Tm 4.7539 0.0000 7.4249
Pb 0.1071 0.0000 5.5092
Pb 8.9675 0.0000 2.4157

=====

Entry 14:
! TlCoAg2 (PBE-GGA, optimized geometry); values from VASP
! relative energy among the computed polymorphs	74	meV/atom
! spin magnetization	1.62	μB per formula unit
! E_form	0.432	eV per atom
! symmetry	P2/m
&SYSTEM
  ibrav = 0, nat = 4, ntyp = 3
/
ATOMIC_SPECIES
Tl 204.38 Tl.upf
Co 58.93 Co.upf
Ag 107.87 Ag.upf
CELL_PARAMETERS angstrom
2.9778 0.0000 0.0000
0.0000 4.8923 0.0000
-0.3523 0.0000 4.9764
ATOMIC_POSITIONS angstrom
Tl 0.0000 0.0000 0.0000
Co 1.3127 0.0000 2.4882
Ag 0.5327 2.4461 3.6614
Ag 2.0927 2.4461 1.3150

=====

Entry 15:
! MgNiRu2 (PBE-GGA, optimized geometry); values from VASP
! spin magnetization	0.00	μB per formula unit
! E_form	0.150	eV per atom
! symmetry	F-43m
&SYSTEM
  ibrav = 0, nat = 4, ntyp = 3
/
ATOMIC_SPECIES
Mg 24.30 Mg.upf
Ni 58.69 Ni.upf
Ru 101.07 Ru.upf
CELL_PARAMETERS angstrom
0.0000 3.0251 3.0251
3.0251 0.0000 3.0251
3.0251 3.0251 0.0000
ATOMIC_POSITIONS angstrom
Mg 0.0000 0.0000 0.0000
Ni 1.5125 1.5125 1.5125
Ru 3.0251 3.0251 3.0251
Ru 4.5376 4.5376 4.5376

=====

Entry 16:
! Dy5NbN6 (PBE-GGA, optimized geometry); values from VASP
! spin magnetization	0.00	μB per formula unit
! symmetry	C2/m
! E_form (uncorrected)	-1.5873	eV per atom
&SYSTEM
  ibrav = 0, nat = 12, ntyp = 3
/
ATOMIC_SPECIES
Dy 162.50 Dy.upf
Nb 92.91 Nb.upf
N 14.01 N.upf
CELL_PARAMETERS angstrom
2.9468 -5.0944 0.0000
2.9468 5.0944 0.0000
-1.9654 0.0000 5.5430
ATOMIC_POSITIONS angstrom
Dy 0.0000 0.0000 0.0000
Dy 1.9641 3.3944 2.7715
Dy 2.9468 1.6893 0.0000
Dy 2.9468 -1.6893 0.0000
Dy 1.9641 -3.3944 2.7715
Nb 1.9641 0.0000 2.7715
N 1.0344 1.6039 1.4573
N 0.1003 0.0000 4.1070
N 1.0344 -1.6039 1.4573
N 2.8938 1.6039 4.0857
N 3.8279 0.0000 1.4360
N 2.8938 -1.6039 4.0857

=====

Entry 17:
! KScVBr6 (PBE-GGA, optimized geometry); values from VASP
! spin magnetization	3.00	μB per formula unit
! symmetry	P-31c
! E_form (uncorrected)	-1.4232	eV per atom
&SYSTEM
  ibrav = 0, nat = 18, ntyp = 4
/
ATOMIC_SPECIES
K 39.10 K.upf
Sc 44.96 Sc.upf
V 50.94 V.upf
Br 79.90 Br.upf
CELL_PARAMETERS angstrom
6.8427 0.0000 0.0000
-3.4214 5.9260 0.0000
0.0000 0.0000 14.9405
ATOMIC_POSITIONS angstrom
K 0.0000 0.0000 0.0000
K 0.0000 0.0000 7.4702
Sc 0.0000 3.9506 3.7351
Sc 3.4214 1.9753 11.2054
V 0.0000 3.9506 11.2054
V 3.4214 1.9753 3.7351
Br -1.2344 2.1803 9.6807
Br -2.1503 3.7668 12.7301
Br 1.2344 2.1803 12.7301
Br -0.9159 5.9048 9.6807
Br 2.5054 0.0211 2.2104
Br 1.2710 2.1592 5.2598
Br 2.1503 3.7668 9.6807
Br 0.9159 5.9048 12.7301
Br 4.3373 0.0211 5.2598
Br 2.1869 3.7456 2.2104
Br 5.5717 2.1592 2.2104
Br 4.6558 3.7456 5.2598

=====

Entry 18:
! RbAlO2 (PBE-GGA, optimized geometry); values from VASP
! spin magnetization	0.00	μB per formula unit
! symmetry	P3m1
! E_form (uncorrected)	-1.9088	eV per atom
&SYSTEM
  ibrav = 0, nat = 4, ntyp = 3
/
ATOMIC_SPECIES
Rb 85.47 Rb.upf
Al 26.98 Al.upf
O 16.00 O.upf
CELL_PARAMETERS angstrom
3.2369 0.0000 0.0000
-1.6184 2.8032 0.0000
0.0000 0.0000 6.8703
ATOMIC_POSITIONS angstrom
Rb 0.0000 0.0000 0.0000
Al 0.0000 1.8688 3.5150
O 0.0000 1.8688 5.1770
O 1.6184 0.9344 2.8333

=====

Entry 19:
! TaPtW3 (PBE-GGA, optimized geometry); values from VASP
! relative energy among the computed polymorphs	0	meV/atom
! spin magnetization	0.00	μB per formula unit
! E_form	2.089	eV per atom
! symmetry	Pm-3m
&SYSTEM
  ibrav = 0, nat = 5, ntyp = 3
/
ATOMIC_SPECIES
Ta 180.95 Ta.upf
Pt 195.08 Pt.upf
W 183.84 W.upf
CELL_PARAMETERS angstrom
4.7369 0.0000 0.0000
0.0000 4.7369 0.0000
0.0000 0.0000 4.7369
ATOMIC_POSITIONS angstrom
Ta 0.0000 0.0000 0.0000
Pt 2.3685 2.3685 2.3685
W 0.0000 2.3685 2.3685
W 2.3685 0.0000 2.3685
W 2.3685 2.3685 0.0000

=====

Entry 20:
! RbPrCuCl6 (PBE-GGA, optimized geometry); values from VASP
! spin magnetization	1.00	μB per formula unit
! symmetry	P1
! E_form (uncorrected)	-1.6019	eV per atom
&SYSTEM
  ibrav = 0, nat = 9, ntyp = 4
/
ATOMIC_SPECIES
Rb 85.47 Rb.upf
Pr 140.91 Pr.upf
Cu 63.55 Cu.upf
Cl 35.45 Cl.upf
CELL_PARAMETERS angstrom
6.6408 0.0000 0.0000
-2.6648 6.1859 0.0000
-0.5766 -0.6455 7.3582
ATOMIC_POSITIONS angstrom
Rb 0.0000 0.0000 0.0000
Pr 0.2822 3.7877 3.7184
Cu 3.6042 1.6497 3.5953
Cl -1.6119 3.5655 1.8270
Cl -1.1020 1.5996 4.8616
Cl -0.2594 5.4368 5.7428
Cl 1.7955 1.9136 2.1980
Cl 1.5796 5.9411 2.4312
Cl 2.6439 3.0883 5.1175